No. 1
A relaxed CsCr3F crystal, computed with PBE with a Hubbard U.

a b c (Å): 5.1516 5.1516 5.1516
angles (deg): 90.00 90.00 90.00
Each line ends with the local moment (μB).
Fractional positions:
Cs 0.5000 0.5000 0.5000  0.09
Cr 0.0000 0.5000 0.0000  4.45
Cr 0.0000 0.0000 0.5000  4.48
Cr 0.5000 0.0000 0.0000  4.40
F 0.0000 0.0000 0.0000  0.06

Results
Calculated total energy: -23.47 eV per cell
Space group: Pm-3m (221)
Calculated volume: 137 Å³/cell

=====

No. 2
A relaxed CsCr2F6 crystal, computed with PBE with a Hubbard U.

a b c (Å): 5.5386 5.5386 6.4628
angles (deg): 90.00 90.00 120.00
Each line ends with the local moment (μB).
Fractional positions:
F 0.6188 0.6188 0.6681  -0.01
F 0.6188 0.0000 0.3319  -0.01
F 0.3812 0.3812 0.3319  -0.01
F 0.3812 0.0000 0.6681  -0.01
F 0.0000 0.6188 0.3319  -0.01
F 0.0000 0.3812 0.6681  -0.01
Cs 0.0000 0.0000 0.0000  0.00
Cr 0.6667 0.3333 0.5000  3.43
Cr 0.3333 0.6667 0.5000  3.43

Results
Calculated total energy: -51.18 eV per cell
Space group: P-31m (162)
Calculated volume: 172 Å³/cell

=====

No. 3
A relaxed CsCrGa2F8 crystal, computed with PBE with a Hubbard U.

a b c (Å): 5.7072 5.7072 8.5903
angles (deg): 70.60 70.60 60.00
Each line ends with the local moment (μB).
Fractional positions:
F 0.8170 0.8170 0.5490  0.01
F 0.9821 0.5978 0.1581  0.01
F 0.4022 0.7379 0.8419  0.01
F 0.1830 0.1830 0.4510  0.01
F 0.0179 0.4022 0.8419  0.01
F 0.2621 0.9821 0.1581  0.01
F 0.7379 0.0179 0.8419  0.01
F 0.5978 0.2621 0.1581  0.01
Cr 0.0000 0.0000 0.0000  4.33
Cs 0.5000 0.5000 0.5000  0.00
Ga 0.7406 0.7406 0.7781  0.05
Ga 0.2594 0.2594 0.2219  0.05

Results
Calculated total energy: -58.38 eV per cell
Space group: R-3 (148)
Calculated volume: 224 Å³/cell

=====

No. 4
A relaxed CsCr2H2F6 crystal, computed with PBE with a Hubbard U.

a b c (Å): 6.5275 5.4554 5.7062
angles (deg): 106.25 75.66 71.69
Each line ends with the local moment (μB).
Fractional positions:
Cr 0.7906 0.3626 0.8669  4.21
Cr 0.2094 0.6374 0.1331  4.21
Cs 0.5000 0.0000 0.5000  0.01
H 0.0385 0.7350 0.7306  0.00
H 0.9615 0.2650 0.2694  0.00
F 0.9512 0.0758 0.3004  0.01
F 0.9531 0.4749 0.2418  0.01
F 0.4884 0.7118 0.9401  -0.01
F 0.0469 0.5251 0.7582  0.01
F 0.5116 0.2882 0.0599  -0.01
F 0.0488 0.9242 0.6996  0.01

Results
Calculated total energy: -55.70 eV per cell
Space group: P-1 (2)
Calculated volume: 172 Å³/cell